Version A
VASP calculation (GGA-PBEsol) on a relaxed structure of Tl2SbPt.

Unit cell a=3.2640 b=3.7883 c=8.1008 alpha=90.00 beta=101.34 gamma=90.00
Space group Pm (No. 6)
Unique sites:
Tl: 0.0000 0.0000 0.0000 [1 per cell]
Tl: 0.3498 0.5000 0.7107 [1 per cell]
Sb: 0.6989 0.0000 0.4056 [1 per cell]
Pt: 0.5894 0.5000 0.1818 [1 per cell]

Output
- total magnetization (μB per cell) = 0.000

=====

Version B
VASP calculation (GGA-PBEsol) on a relaxed structure of Tl2SbPt.

Unit cell a=4.4893 b=4.7811 c=8.5505 alpha=90.00 beta=90.00 gamma=90.00
Space group Cmmm (No. 65)
Unique sites:
Tl: 0.0000 0.0000 0.2077 [4 per cell]
Sb: 0.0000 0.5000 0.5000 [2 per cell]
Pt: 0.0000 0.5000 0.0000 [2 per cell]

Output
- total magnetization (μB per cell) = 0.000

=====

Version C
VASP calculation (GGA-PBEsol) on a relaxed structure of Tl2SbPt.

Unit cell a=4.1799 b=4.1799 c=10.5876 alpha=90.00 beta=90.00 gamma=90.00
Space group I4/mmm (No. 139)
Unique sites:
Tl: 0.0000 0.5000 0.2500 [4 per cell]
Sb: 0.0000 0.0000 0.0000 [2 per cell]
Pt: 0.0000 0.0000 0.5000 [2 per cell]

Output
- total magnetization (μB per cell) = 0.000

=====

Version D
VASP calculation (GGA-PBEsol) on a relaxed structure of Tl2SbPt.

Unit cell a=7.1293 b=7.1293 c=7.1293 alpha=90.00 beta=90.00 gamma=90.00
Space group F-43m (No. 216)
Unique sites:
Tl: 0.0000 0.0000 0.0000 [4 per cell]
Tl: 0.2500 0.2500 0.2500 [4 per cell]
Sb: 0.0000 0.0000 0.5000 [4 per cell]
Pt: 0.2500 0.2500 0.7500 [4 per cell]

Output
- total magnetization (μB per cell) = 0.001

=====

The structure with the least stability is version C.